DFT (GGA+U) results for crystalline Zn4Co2F at its relaxed geometry.

## Properties
E_tot   -2.20 eV/atom
Space group   No. 139
Volume   117.72 Å³ per cell

abc: 4.2572 4.2572 7.1592
angles: 72.70 72.70 90.00
Site moments in Bohr magnetons follow the coordinates.
Positions (direct):
Zn 0.8149 0.8149 0.3701  -0.03
Zn 0.5000 0.0000 0.0000  -0.05
Zn 0.0000 0.5000 0.0000  -0.05
Zn 0.1851 0.1851 0.6299  -0.03
F 0.0000 0.0000 0.0000  -0.02
Co 0.3774 0.3774 0.2452  1.92
Co 0.6226 0.6226 0.7548  1.92